## TaBi3Pt (GGA-PBE)

Data for a relaxed structure of TaBi3Pt.

a = 5.3999 Å, b = 5.3999 Å, c = 5.3999 Å
α = 90.00°, β = 90.00°, γ = 90.00°
Last column: nearest neighbours and their distance in Å.
Positions (direct):
Ta 0.0000 0.0000 0.0000  6 Bi 2.70
Bi 0.0000 0.0000 0.5000  2 Ta 2.70
Bi 0.0000 0.5000 0.0000  2 Ta 2.70
Bi 0.5000 0.0000 0.0000  2 Ta 2.70
Pt 0.5000 0.5000 0.5000  12 Bi 3.82

Formation energy: 0.903 eV per atom
Space group: Pm-3m, No. 221
Raw total energy: -5.004 eV per atom